# 1
A relaxed Li4HgMo crystal. Source: Alexandria via LeMat-Bulk, functional GGA-PBEsol.

a = 7.071 Å, b = 7.071 Å, c = 7.071 Å
α = 90.00°, β = 90.00°, γ = 90.00°
Space group F-43m (No. 216)
Inequivalent atoms, fractional coordinates:
Li (0.124, 0.124, 0.376) [16 per cell]
Hg (0.000, 0.000, 0.000) [4 per cell]
Mo (0.250, 0.250, 0.750) [4 per cell]

## Properties
**ΔH_f (0 K)**: 0.37 eV/atom

***

# 2
A relaxed LiHg3N crystal. Source: Alexandria via LeMat-Bulk, functional GGA-PBEsol.

a = 4.938 Å, b = 4.938 Å, c = 4.938 Å
α = 90.00°, β = 90.00°, γ = 90.00°
Space group Pm-3m (No. 221)
Inequivalent atoms, fractional coordinates:
Li (0.000, 0.000, 0.000) [1 per cell]
Hg (0.000, 0.000, 0.500) [3 per cell]
N (0.500, 0.500, 0.500) [1 per cell]

## Properties
**Formation energy without anion corrections**: 1043.2 meV per atom